The following is a PBE calculation of Dy2HoMg2 after structural relaxation, from the Alexandria database.

Summary:
Distance to the lowest polymorph of the same formula in eV/atom: 0.0000
ΔH_f (0 K) in meV/atom: -65
Density in kg/m³: 6384
N(E_F) in states/eV per cell: 10.93

a = 3.719 Å, b = 5.417 Å, c = 14.029 Å
α = 90.00°, β = 97.62°, γ = 90.00°
Sites, in units of the cell vectors:
Dy (0.044, 0.750, 0.088)
Dy (0.956, 0.250, 0.912)
Dy (0.237, 0.750, 0.474)
Dy (0.763, 0.250, 0.526)
Ho (0.848, 0.750, 0.696)
Ho (0.152, 0.250, 0.304)
Mg (0.639, 0.750, 0.280)
Mg (0.361, 0.250, 0.720)
Mg (0.446, 0.750, 0.892)
Mg (0.554, 0.250, 0.108)


The following is a PBE calculation of Dy7Ho3Mg after structural relaxation, from the Alexandria database.

Summary:
ΔH_f (0 K) in meV/atom: 195
Density in kg/m³: 7706
N(E_F) in states/eV per cell: 15.15

a = 8.515 Å, b = 6.957 Å, c = 6.957 Å
α = 120.00°, β = 90.00°, γ = 90.00°
Sites, in units of the cell vectors:
Dy (0.119, 0.167, 0.833)
Dy (0.119, 0.167, 0.334)
Dy (0.116, 0.667, 0.333)
Dy (0.447, 0.830, 0.170)
Dy (0.447, 0.339, 0.170)
Dy (0.447, 0.830, 0.661)
Dy (0.119, 0.666, 0.833)
Ho (0.785, 0.502, 0.498)
Ho (0.785, 0.502, 0.003)
Ho (0.785, 0.997, 0.498)
Mg (0.447, 0.333, 0.667)


The following is a PBE calculation of Dy2Ho3Mg2 after structural relaxation, from the Alexandria database.

Summary:
ΔH_f (0 K) in meV/atom: 57
Density in kg/m³: 6992
N(E_F) in states/eV per cell: 9.09

a = 3.719 Å, b = 3.625 Å, c = 15.412 Å
α = 90.00°, β = 96.93°, γ = 90.00°
Sites, in units of the cell vectors:
Dy (0.297, 0.500, 0.593)
Dy (0.703, 0.500, 0.407)
Ho (0.422, 0.500, 0.844)
Ho (0.578, 0.500, 0.156)
Ho (0.000, 0.000, 0.000)
Mg (0.141, 0.000, 0.281)
Mg (0.859, 0.000, 0.719)


The following is a PBE calculation of Dy8Ho3Mg after structural relaxation, from the Alexandria database.

Summary:
ΔH_f (0 K) in meV/atom: 23
Density in kg/m³: 8200
N(E_F) in states/eV per cell: 17.47

a = 4.977 Å, b = 9.945 Å, c = 9.288 Å
α = 57.66°, β = 105.51°, γ = 89.97°
Sites, in units of the cell vectors:
Dy (0.417, 0.703, 0.835)
Dy (0.250, 0.123, 0.499)
Dy (0.915, 0.957, 0.831)
Dy (0.083, 0.542, 0.165)
Dy (0.918, 0.454, 0.835)
Dy (0.082, 0.038, 0.164)
Dy (0.584, 0.288, 0.169)
Dy (0.750, 0.872, 0.500)
Ho (0.417, 0.207, 0.834)
Ho (0.750, 0.373, 0.500)
Ho (0.582, 0.790, 0.164)
Mg (0.250, 0.622, 0.500)


The following is a PBE calculation of DyHo3Mg2 after structural relaxation, from the Alexandria database.

Summary:
ΔH_f (0 K) in meV/atom: -36
Density in kg/m³: 6850
N(E_F) in states/eV per cell: 7.59

a = 3.621 Å, b = 3.621 Å, c = 13.047 Å
α = 90.00°, β = 90.00°, γ = 90.00°
Sites, in units of the cell vectors:
Dy (0.500, 0.500, 0.500)
Ho (0.000, 0.000, 0.000)
Ho (0.000, 0.000, 0.687)
Ho (0.000, 0.000, 0.313)
Mg (0.500, 0.500, 0.846)
Mg (0.500, 0.500, 0.154)


The following is a PBE calculation of Dy7HoMg2 after structural relaxation, from the Alexandria database.

Summary:
ΔH_f (0 K) in meV/atom: 578
Density in kg/m³: 6005
N(E_F) in states/eV per cell: 17.11

a = 5.221 Å, b = 9.271 Å, c = 9.271 Å
α = 123.63°, β = 90.00°, γ = 90.00°
Sites, in units of the cell vectors:
Dy (0.000, 0.791, 0.209)
Dy (0.000, 0.209, 0.791)
Dy (0.500, 0.070, 0.294)
Dy (0.500, 0.930, 0.706)
Dy (0.500, 0.294, 0.070)
Dy (0.500, 0.706, 0.930)
Dy (0.500, 0.500, 0.500)
Ho (0.000, 0.000, 0.000)
Mg (0.500, 0.701, 0.299)
Mg (0.500, 0.299, 0.701)


The following is a PBE calculation of DyHo2Mg8 after structural relaxation, from the Alexandria database.

Summary:
ΔH_f (0 K) in meV/atom: 61
Density in kg/m³: 3956
N(E_F) in states/eV per cell: 8.37

a = 5.287 Å, b = 7.782 Å, c = 8.439 Å
α = 117.46°, β = 108.25°, γ = 90.00°
Sites, in units of the cell vectors:
Dy (0.500, 0.000, 0.000)
Ho (0.212, 0.712, 0.424)
Ho (0.788, 0.288, 0.576)
Mg (0.635, 0.826, 0.270)
Mg (0.365, 0.556, 0.730)
Mg (0.153, 0.153, 0.306)
Mg (0.000, 0.294, 0.000)
Mg (0.847, 0.847, 0.694)
Mg (0.635, 0.444, 0.270)
Mg (0.365, 0.174, 0.730)
Mg (0.000, 0.706, 0.000)


The following is a PBE calculation of DyHo2Mg4 after structural relaxation, from the Alexandria database.

Summary:
Distance to the lowest polymorph of the same formula in eV/atom: 0.0000
ΔH_f (0 K) in meV/atom: 146
Density in kg/m³: 4725
N(E_F) in states/eV per cell: 6.22

a = 5.371 Å, b = 5.371 Å, c = 8.124 Å
α = 109.30°, β = 109.30°, γ = 90.00°
Site moments in Bohr magnetons follow the coordinates.
Sites, in units of the cell vectors:
Dy (0.000, 0.000, 0.000)  -0.01
Ho (0.750, 0.750, 0.500)  0.10
Ho (0.250, 0.250, 0.500)  0.10
Mg (0.382, 0.882, 0.764)  0.00
Mg (0.882, 0.382, 0.764)  0.00
Mg (0.618, 0.118, 0.236)  0.00
Mg (0.118, 0.618, 0.236)  0.00


The following is a PBE calculation of Dy3Ho4Mg2 after structural relaxation, from the Alexandria database.

Summary:
ΔH_f (0 K) in meV/atom: 9
Density in kg/m³: 7443
N(E_F) in states/eV per cell: 11.70

a = 4.902 Å, b = 7.793 Å, c = 7.768 Å
α = 107.68°, β = 108.39°, γ = 90.00°
Sites, in units of the cell vectors:
Dy (0.888, 0.334, 0.777)
Dy (0.112, 0.666, 0.223)
Dy (0.000, 0.000, 0.000)
Ho (0.556, 0.334, 0.112)
Ho (0.779, 0.669, 0.557)
Ho (0.444, 0.666, 0.888)
Ho (0.221, 0.331, 0.443)
Mg (0.331, 0.001, 0.662)
Mg (0.669, 0.999, 0.338)


The following is a PBE calculation of DyHoMg4 after structural relaxation, from the Alexandria database.

Summary:
Distance to the lowest polymorph of the same formula in eV/atom: 0.0232
ΔH_f (0 K) in meV/atom: -42
Density in kg/m³: 4550
N(E_F) in states/eV per cell: 6.18

a = 3.437 Å, b = 7.077 Å, c = 8.550 Å
α = 122.74°, β = 78.41°, γ = 75.95°
Sites, in units of the cell vectors:
Dy (0.500, 0.500, 0.500)
Ho (0.000, 0.000, 0.000)
Mg (0.837, 0.489, 0.838)
Mg (0.338, 0.987, 0.337)
Mg (0.163, 0.511, 0.162)
Mg (0.662, 0.013, 0.663)


The following is a PBE calculation of Dy12Ho3Mg after structural relaxation, from the Alexandria database.

Summary:
ΔH_f (0 K) in meV/atom: 19
Density in kg/m³: 8292
N(E_F) in states/eV per cell: 20.99

a = 4.976 Å, b = 4.976 Å, c = 19.970 Å
α = 90.00°, β = 90.00°, γ = 90.00°
Sites, in units of the cell vectors:
Dy (0.500, 0.500, 0.000)
Dy (0.500, 0.500, 0.246)
Dy (0.500, 0.500, 0.500)
Dy (0.500, 0.500, 0.754)
Dy (0.500, 0.000, 0.123)
Dy (0.500, 0.000, 0.374)
Dy (0.500, 0.000, 0.626)
Dy (0.500, 0.000, 0.877)
Dy (0.000, 0.500, 0.123)
Dy (0.000, 0.500, 0.374)
Dy (0.000, 0.500, 0.626)
Dy (0.000, 0.500, 0.877)
Ho (0.000, 0.000, 0.248)
Ho (0.000, 0.000, 0.500)
Ho (0.000, 0.000, 0.752)
Mg (0.000, 0.000, 0.000)


The following is a PBE calculation of Dy8HoMg2 after structural relaxation, from the Alexandria database.

Summary:
Distance to the lowest polymorph of the same formula in eV/atom: 0.1266
ΔH_f (0 K) in meV/atom: 144
Density in kg/m³: 7361
N(E_F) in states/eV per cell: 13.83

a = 5.628 Å, b = 8.869 Å, c = 8.869 Å
α = 121.09°, β = 102.34°, γ = 102.34°
Sites, in units of the cell vectors:
Dy (0.870, 0.903, 0.680)
Dy (0.870, 0.680, 0.903)
Dy (0.297, 0.594, 0.594)
Dy (0.500, 0.788, 0.212)
Dy (0.500, 0.212, 0.788)
Dy (0.703, 0.406, 0.406)
Dy (0.130, 0.320, 0.097)
Dy (0.130, 0.097, 0.320)
Ho (0.500, 0.000, 0.000)
Mg (0.000, 0.307, 0.693)
Mg (0.000, 0.693, 0.307)


The following is a PBE calculation of Dy4Ho4Mg after structural relaxation, from the Alexandria database.

Summary:
Distance to the lowest polymorph of the same formula in eV/atom: 0.0430
ΔH_f (0 K) in meV/atom: 68
Density in kg/m³: 8055
N(E_F) in states/eV per cell: 20.30

a = 9.109 Å, b = 9.109 Å, c = 11.484 Å
α = 98.12°, β = 98.12°, γ = 140.54°
Sites, in units of the cell vectors:
Dy (0.184, 0.816, 0.500)
Dy (0.142, 0.858, 0.000)
Dy (0.530, 0.814, 0.667)
Dy (0.186, 0.470, 0.333)
Dy (0.814, 0.530, 0.667)
Dy (0.470, 0.186, 0.333)
Dy (0.858, 0.142, 0.000)
Dy (0.816, 0.184, 0.500)
Ho (0.151, 0.519, 0.834)
Ho (0.481, 0.849, 0.166)
Ho (0.281, 0.281, 0.556)
Ho (0.398, 0.398, 0.117)
Ho (0.719, 0.719, 0.444)
Ho (0.602, 0.602, 0.883)
Ho (0.849, 0.481, 0.166)
Ho (0.519, 0.151, 0.834)
Mg (0.037, 0.037, 0.783)
Mg (0.963, 0.963, 0.217)


The following is a PBE calculation of DyHo5Mg after structural relaxation, from the Alexandria database.

Summary:
ΔH_f (0 K) in meV/atom: 234
Density in kg/m³: 7669
N(E_F) in states/eV per cell: 10.43

a = 10.803 Å, b = 6.441 Å, c = 7.032 Å
α = 117.26°, β = 140.18°, γ = 90.00°
Sites, in units of the cell vectors:
Dy (0.733, 0.000, 0.000)
Ho (0.315, 0.241, 0.482)
Ho (0.106, 0.500, 0.000)
Ho (0.834, 0.759, 0.518)
Ho (0.356, 0.236, 0.000)
Ho (0.356, 0.764, 0.000)
Mg (0.830, 0.500, 0.000)


The following is a PBE calculation of Dy2Ho3Mg after structural relaxation, from the Alexandria database.

Summary:
Distance to the lowest polymorph of the same formula in eV/atom: 0.0381
ΔH_f (0 K) in meV/atom: 26
Density in kg/m³: 7768
N(E_F) in states/eV per cell: 15.48

a = 6.937 Å, b = 6.090 Å, c = 9.221 Å
α = 90.78°, β = 112.10°, γ = 90.00°
Sites, in units of the cell vectors:
Dy (0.789, 0.584, 0.333)
Dy (0.544, 0.084, 0.333)
Dy (0.456, 0.916, 0.667)
Dy (0.211, 0.416, 0.667)
Ho (0.632, 0.250, 0.000)
Ho (0.368, 0.750, 0.000)
Ho (0.041, 0.079, 0.334)
Ho (0.708, 0.421, 0.666)
Ho (0.292, 0.579, 0.334)
Ho (0.959, 0.921, 0.666)
Mg (0.872, 0.750, 0.000)
Mg (0.128, 0.250, 0.000)


The following is a PBE calculation of Dy4HoMg7 after structural relaxation, from the Alexandria database.

Summary:
Distance to the lowest polymorph of the same formula in eV/atom: 0.1769
ΔH_f (0 K) in meV/atom: 155
Density in kg/m³: 4860
N(E_F) in states/eV per cell: 13.04

a = 5.639 Å, b = 10.809 Å, c = 6.390 Å
α = 87.01°, β = 63.82°, γ = 74.88°
Sites, in units of the cell vectors:
Dy (0.615, 0.221, 0.548)
Dy (0.385, 0.779, 0.452)
Dy (0.757, 0.675, 0.811)
Dy (0.243, 0.325, 0.189)
Ho (0.000, 0.000, 0.000)
Mg (0.779, 0.923, 0.519)
Mg (0.221, 0.077, 0.481)
Mg (0.069, 0.681, 0.181)
Mg (0.931, 0.319, 0.819)
Mg (0.369, 0.505, 0.757)
Mg (0.500, 0.000, 0.000)
Mg (0.631, 0.495, 0.243)


The following is a PBE calculation of Dy5Ho4Mg after structural relaxation, from the Alexandria database.

Summary:
Distance to the lowest polymorph of the same formula in eV/atom: 0.0000
ΔH_f (0 K) in meV/atom: 0
Density in kg/m³: 8159
N(E_F) in states/eV per cell: 13.25

a = 3.539 Å, b = 3.539 Å, c = 24.314 Å
α = 90.00°, β = 90.00°, γ = 90.00°
Sites, in units of the cell vectors:
Dy (0.500, 0.500, 0.091)
Dy (0.500, 0.500, 0.295)
Dy (0.500, 0.500, 0.500)
Dy (0.500, 0.500, 0.705)
Dy (0.500, 0.500, 0.909)
Ho (0.000, 0.000, 0.192)
Ho (0.000, 0.000, 0.397)
Ho (0.000, 0.000, 0.603)
Ho (0.000, 0.000, 0.808)
Mg (0.000, 0.000, 0.000)


The following is a PBE calculation of Dy5Ho2Mg after structural relaxation, from the Alexandria database.

Summary:
Distance to the lowest polymorph of the same formula in eV/atom: 0.0000
ΔH_f (0 K) in meV/atom: 15
Density in kg/m³: 7963
N(E_F) in states/eV per cell: 20.83

a = 7.746 Å, b = 3.536 Å, c = 18.596 Å
α = 79.01°, β = 85.79°, γ = 76.79°
Sites, in units of the cell vectors:
Dy (0.933, 0.944, 0.840)
Dy (0.063, 0.063, 0.656)
Dy (0.558, 0.565, 0.405)
Dy (0.438, 0.440, 0.091)
Dy (0.687, 0.686, 0.220)
Dy (0.313, 0.314, 0.780)
Dy (0.442, 0.435, 0.595)
Dy (0.562, 0.560, 0.909)
Dy (0.067, 0.056, 0.160)
Dy (0.937, 0.937, 0.344)
Ho (0.813, 0.816, 0.528)
Ho (0.814, 0.810, 0.033)
Ho (0.187, 0.184, 0.472)
Ho (0.186, 0.190, 0.967)
Mg (0.687, 0.690, 0.717)
Mg (0.313, 0.310, 0.283)


The following is a PBE calculation of Dy3Ho6Mg after structural relaxation, from the Alexandria database.

Summary:
Distance to the lowest polymorph of the same formula in eV/atom: 0.0000
ΔH_f (0 K) in meV/atom: 20
Density in kg/m³: 8170
N(E_F) in states/eV per cell: 27.23

a = 4.978 Å, b = 11.045 Å, c = 11.101 Å
α = 90.29°, β = 90.00°, γ = 90.00°
Sites, in units of the cell vectors:
Dy (0.250, 0.551, 0.400)
Dy (0.750, 0.449, 0.600)
Dy (0.250, 0.348, 0.797)
Dy (0.750, 0.652, 0.203)
Dy (0.250, 0.752, 0.003)
Dy (0.750, 0.248, 0.997)
Ho (0.250, 0.449, 0.102)
Ho (0.750, 0.551, 0.898)
Ho (0.250, 0.150, 0.197)
Ho (0.750, 0.850, 0.803)
Ho (0.250, 0.653, 0.700)
Ho (0.750, 0.347, 0.300)
Ho (0.250, 0.246, 0.499)
Ho (0.750, 0.754, 0.501)
Ho (0.250, 0.852, 0.305)
Ho (0.750, 0.148, 0.695)
Ho (0.250, 0.048, 0.899)
Ho (0.750, 0.952, 0.101)
Mg (0.250, 0.951, 0.599)
Mg (0.750, 0.049, 0.401)


The following is a PBE calculation of DyHo4Mg2 after structural relaxation, from the Alexandria database.

Summary:
ΔH_f (0 K) in meV/atom: 70
Density in kg/m³: 7105
N(E_F) in states/eV per cell: 9.56

a = 5.416 Å, b = 5.416 Å, c = 8.600 Å
α = 71.64°, β = 71.64°, γ = 60.00°
Sites, in units of the cell vectors:
Dy (0.500, 0.500, 0.500)
Ho (0.792, 0.792, 0.623)
Ho (0.932, 0.932, 0.205)
Ho (0.208, 0.208, 0.377)
Ho (0.068, 0.068, 0.795)
Mg (0.649, 0.649, 0.053)
Mg (0.351, 0.351, 0.947)